Entry 1:
A plane-wave DFT calculation with GGA-PBE was carried out for CrAsAu2 after structural relaxation.

Results
calculated formation energy	0.13	eV/atom

```
CrAsAu2
1.0
2.971 0.000 0.000
0.000 3.568 0.000
0.000 0.000 6.617
As Au Cr
1 2 1
Direct
0.500 0.500 0.700
0.000 0.000 0.009
0.500 0.500 0.270
0.000 0.000 0.521
```

---

Entry 2:
A plane-wave DFT calculation with GGA-PBE was carried out for NpTi2Al after structural relaxation.

Results
E above lowest polymorph	0.094	eV/atom
calculated formation energy	0.07	eV/atom

```
NpTi2Al
1.0
-3.595 -0.222 2.978
-4.353 -0.505 -1.625
-2.273 -4.036 0.623
Ti Np Al
2 1 1
Direct
0.250 0.250 0.250
0.750 0.750 0.750
0.500 0.500 0.500
0.000 0.000 0.000
```

---

> Number 2 is which compound?

NpTi2Al

---

> calculated formation energy of number 1 (CrAsAu2)?

0.13 eV/atom